Record 1
## Tm6Sc12Tl (PBE)

Data for a relaxed structure of Tm6Sc12Tl.

Results
Energy of formation from the pure elements, meV per atom: 114

Cell and atoms, written as POSCAR:
```
Tm6Sc12Tl
1.0
7.974 0.348 0.417
-0.865 7.935 0.417
-0.865 -1.008 7.881
Tm Sc Tl
6 12 1
Cartesian
4.711 6.980 2.749 Tm
5.517 2.397 1.356 Tm
0.059 5.591 2.601 Tm
1.533 0.294 5.965 Tm
0.727 4.877 7.359 Tm
6.185 1.684 6.114 Tm
5.403 4.054 4.228 Sc
2.577 5.862 4.744 Sc
3.188 3.096 6.615 Sc
0.840 3.221 4.486 Sc
3.667 1.413 3.970 Sc
3.056 4.178 2.099 Sc
0.000 0.756 2.995 Sc
5.496 4.348 8.066 Sc
3.465 6.848 7.435 Sc
6.244 6.518 5.720 Sc
0.748 2.926 0.648 Sc
2.779 0.426 1.279 Sc
0.000 0.000 0.000 Tl
```

=====

Record 2
## SmCd5Ag7 (PBE)

Data for a relaxed structure of SmCd5Ag7.

Results
Energy of formation from the pure elements, meV per atom: -73

Cell and atoms, written as POSCAR:
```
SmCd5Ag7
1.0
5.660 0.000 0.000
2.830 6.905 -0.008
2.830 -0.030 6.904
Sm Cd Ag
1 5 7
Cartesian
5.660 0.051 0.051 Sm
4.244 0.002 3.405 Cd
1.416 0.002 3.405 Cd
4.244 3.405 0.013 Cd
1.416 3.405 0.013 Cd
8.490 5.427 5.444 Cd
5.660 2.445 2.453 Ag
5.660 4.521 4.536 Ag
2.830 2.383 4.472 Ag
2.830 4.465 2.398 Ag
2.830 1.420 1.425 Ag
5.660 5.393 1.470 Ag
5.660 1.453 5.397 Ag
```

=====

Record 3
## Ba2LaInH (PBE)

Data for a relaxed structure of Ba2LaInH.

Results
Distance to the lowest polymorph of the same formula, eV/f.u.: 3.08

Cell and atoms, written as POSCAR:
```
Ba2LaInH
1.0
7.020 0.000 0.000
0.000 4.112 0.000
0.000 0.000 7.020
H In Ba La
1 1 2 1
Cartesian
0.000 2.056 0.000 H
0.000 0.000 0.000 In
0.000 0.000 3.510 Ba
3.510 0.000 0.000 Ba
3.510 2.056 3.510 La
```

=====

Record 4
## CaBe2Re (PBE)

Data for a relaxed structure of CaBe2Re.

Results
Energy of formation from the pure elements, meV per atom: 460
Distance to the lowest polymorph of the same formula, eV/f.u.: 0.68

Cell and atoms, written as POSCAR:
```
CaBe2Re
1.0
-0.358 2.427 -1.370
-2.143 0.643 1.699
4.598 3.257 4.567
Re Ca Be
1 1 2
Cartesian
2.533 4.215 3.923 Re
2.205 1.562 2.191 Ca
0.142 0.101 0.141 Be
-0.485 2.078 0.926 Be
```

=====

Record 5
## LiGa2Cu8 (PBE)

Data for a relaxed structure of LiGa2Cu8.

Results
Energy of formation from the pure elements, meV per atom: -100
Distance to the lowest polymorph of the same formula, eV/f.u.: 0.00

Cell and atoms, written as POSCAR:
```
LiGa2Cu8
1.0
3.567 0.000 -1.021
-0.246 5.714 -0.860
0.034 -0.701 6.859
Li Ga Cu
1 2 8
Cartesian
1.783 0.000 -0.511 Li
2.895 4.149 3.374 Ga
0.459 0.865 1.604 Ga
1.358 2.512 4.743 Cu
2.216 4.929 1.001 Cu
2.685 1.683 2.640 Cu
-0.015 4.093 -0.053 Cu
0.669 3.331 2.338 Cu
1.138 0.084 3.977 Cu
1.997 2.501 0.235 Cu
3.370 0.921 5.031 Cu
```

=====

Record 6
## La3Hg4 (PBE)

Data for a relaxed structure of La3Hg4.

Results
Energy of formation from the pure elements, meV per atom: -150
Distance to the lowest polymorph of the same formula, eV/f.u.: 2.51

Cell and atoms, written as POSCAR:
```
La3Hg4
1.0
3.369 -5.835 0.000
3.369 5.835 0.000
0.000 0.000 5.598
La Hg
3 4
Cartesian
1.684 2.918 0.000 La
3.369 0.000 0.000 La
1.684 -2.918 0.000 La
0.000 0.000 1.421 Hg
0.000 0.000 4.177 Hg
3.369 -1.945 2.799 Hg
3.369 1.945 2.799 Hg
```

=====

Record 7
## SrMg2Ru (PBE)

Data for a relaxed structure of SrMg2Ru.

Results
Energy of formation from the pure elements, meV per atom: 244

Cell and atoms, written as POSCAR:
```
SrMg2Ru
1.0
4.439 0.000 0.000
0.000 3.844 0.032
0.000 1.898 6.127
Mg Ru Sr
2 1 1
Cartesian
0.000 4.087 0.891 Mg
2.220 2.160 1.455 Mg
0.000 2.149 2.773 Ru
2.220 4.060 4.151 Sr
```

=====

Record 8
## Pm2MnSi3Pt12 (PBE)

Data for a relaxed structure of Pm2MnSi3Pt12.

Results
Raw formation energy, meV per atom: -477.8

Cell and atoms, written as POSCAR:
```
Pm2MnSi3Pt12
1.0
7.667 -0.301 -0.214
3.524 6.815 -0.214
3.524 2.051 6.503
Pm Mn Si Pt
2 1 3 12
Cartesian
8.985 5.230 3.709 Pm
5.731 3.336 2.366 Pm
0.000 0.000 0.000 Mn
3.833 -0.151 -0.107 Si
1.762 3.408 -0.107 Si
1.762 1.026 3.251 Si
7.130 4.150 5.682 Pt
11.053 6.434 2.068 Pt
9.005 7.597 5.389 Pt
9.377 2.874 2.038 Pt
11.053 4.079 5.389 Pt
7.130 6.734 2.038 Pt
7.585 4.415 0.394 Pt
3.662 2.132 4.008 Pt
5.710 0.968 0.687 Pt
5.339 5.692 4.037 Pt
3.662 4.487 0.687 Pt
7.585 1.831 4.037 Pt
```

=====

Record 9
## LiCr2Ni (PBE)

Data for a relaxed structure of LiCr2Ni.

Results
Energy of formation from the pure elements, meV per atom: 312
Distance to the lowest polymorph of the same formula, eV/f.u.: 0.57

Cell and atoms, written as POSCAR:
```
LiCr2Ni
1.0
-1.279 -1.975 -0.355
1.872 -0.718 1.281
-4.401 1.539 7.297
Cr Li Ni
2 1 1
Cartesian
-4.321 1.511 7.164 Cr
-2.281 0.797 3.781 Cr
-0.803 -0.961 2.287 Li
-3.004 -0.192 5.936 Ni
```

=====

Record 10
## Ba4Na2Li (PBE)

Data for a relaxed structure of Ba4Na2Li.

Results
Energy of formation from the pure elements, meV per atom: 103
Distance to the lowest polymorph of the same formula, eV/f.u.: 0.00

Cell and atoms, written as POSCAR:
```
Ba4Na2Li
1.0
-1.503 3.679 1.647
-5.954 0.280 -6.058
-2.121 -7.211 8.552
Ba Na Li
4 2 1
Cartesian
-4.665 -2.575 7.113 Ba
-4.913 -0.677 -2.972 Ba
-3.374 0.568 1.271 Ba
-6.204 -3.820 2.870 Ba
-7.099 -0.606 0.493 Na
-2.479 -2.646 3.648 Na
0.000 0.000 0.000 Li
```

=====

Record 11
## Ti2AlFeH (PBE)

Data for a relaxed structure of Ti2AlFeH.

Cell and atoms, written as POSCAR:
```
Ti2AlFeH
1.0
-0.058 -3.637 -1.878
3.815 0.633 -1.343
1.290 -1.538 2.938
H Al Fe Ti
1 1 1 2
Cartesian
0.000 0.000 0.000 H
2.523 -2.271 -0.142 Al
0.645 -0.769 1.469 Fe
1.907 0.316 -0.672 Ti
-0.029 -1.818 -0.939 Ti
```

=====

Record 12
## KAgAu (PBE)

Data for a relaxed structure of KAgAu.

Results
Energy of formation from the pure elements, meV per atom: -113
Distance to the lowest polymorph of the same formula, eV/f.u.: 0.17

Cell and atoms, written as POSCAR:
```
KAgAu
1.0
-0.183 0.554 4.803
-3.354 -3.476 0.273
7.124 -3.644 -1.744
Au Ag K
2 2 2
Cartesian
1.057 -1.008 0.157 Au
2.529 -5.558 3.175 Au
-1.677 -1.738 0.137 Ag
-0.092 0.277 2.401 Ag
0.055 -3.200 2.808 K
3.531 -3.366 0.523 K
```

=====

Record 13
## Sr3PtF (PBE)

Data for a relaxed structure of Sr3PtF.

Results
Distance to the lowest polymorph of the same formula, eV/f.u.: 0.00
Raw formation energy, meV per atom: -1213.2

Cell and atoms, written as POSCAR:
```
Sr3PtF
1.0
-3.228 -3.856 -1.034
3.888 -2.734 -1.941
0.907 -2.003 4.639
Sr Pt F
3 1 1
Cartesian
1.944 -1.367 -0.970 Sr
0.453 -1.002 2.320 Sr
-1.614 -1.928 -0.517 Sr
0.783 -4.297 0.832 Pt
0.000 0.000 0.000 F
```

=====

Record 14
## Pm2PrDyTl2 (PBE)

Data for a relaxed structure of Pm2PrDyTl2.

Results
Energy of formation from the pure elements, meV per atom: -271

Cell and atoms, written as POSCAR:
```
Pm2PrDyTl2
1.0
-0.063 5.195 -0.506
-6.511 -0.309 -2.369
-3.523 0.889 9.567
Pm Pr Dy Tl
4 2 2 4
Cartesian
-0.546 2.621 0.057 Pm
-2.806 0.059 0.953 Pm
-7.002 3.274 7.564 Pm
-8.302 0.470 5.854 Pm
-7.850 0.109 2.090 Pr
-4.905 0.342 4.118 Pr
-3.631 3.154 5.911 Dy
-5.556 2.664 1.112 Dy
-4.967 0.673 7.531 Tl
-2.779 2.856 2.743 Tl
-5.681 -0.123 -0.556 Tl
-6.963 2.935 4.078 Tl
```

=====

Record 15
## KPtI2Cl (PBE)

Data for a relaxed structure of KPtI2Cl.

Results
Raw formation energy, meV per atom: -659.4

Cell and atoms, written as POSCAR:
```
KPtI2Cl
1.0
-3.802 2.532 3.296
-3.751 -4.015 -1.243
1.584 -2.684 3.889
I K Pt Cl
2 1 1 1
Cartesian
-1.875 -2.007 -0.622 I
-1.901 1.266 1.648 I
-2.985 -2.084 2.971 K
0.000 0.000 0.000 Pt
0.792 -1.342 1.944 Cl
```

=====

Record 16
## NpScGa6 (PBE)

Data for a relaxed structure of NpScGa6.

Results
Energy of formation from the pure elements, meV per atom: -360

Cell and atoms, written as POSCAR:
```
NpScGa6
1.0
4.193 0.000 0.000
0.000 4.193 0.000
0.000 0.000 8.373
Np Sc Ga
1 1 6
Cartesian
0.000 0.000 0.000 Np
0.000 0.000 4.186 Sc
2.097 2.097 0.000 Ga
2.097 2.097 4.186 Ga
2.097 0.000 2.149 Ga
2.097 0.000 6.224 Ga
0.000 2.097 2.149 Ga
0.000 2.097 6.224 Ga
```

=====

Record 17
## TiRu3Pb (PBE)

Data for a relaxed structure of TiRu3Pb.

Results
Energy of formation from the pure elements, meV per atom: 973
Distance to the lowest polymorph of the same formula, eV/f.u.: 0.00

Cell and atoms, written as POSCAR:
```
TiRu3Pb
1.0
-1.470 -1.603 -4.032
-2.842 -2.862 2.174
-3.279 3.199 -0.076
Pb Ru Ti
1 3 1
Cartesian
-3.796 -0.633 -0.967 Pb
-1.421 -1.431 1.087 Ru
-1.640 1.599 -0.038 Ru
-0.735 -0.802 -2.016 Ru
0.000 0.000 0.000 Ti
```

=====

Record 18
## TmBeNi4 (PBE)

Data for a relaxed structure of TmBeNi4.

Results
Energy of formation from the pure elements, meV per atom: -351
Distance to the lowest polymorph of the same formula, eV/f.u.: 0.00

Cell and atoms, written as POSCAR:
```
TmBeNi4
1.0
3.520 0.000 0.000
0.000 6.285 0.000
0.000 0.000 6.845
Tm Be Ni
2 2 8
Cartesian
0.000 3.922 5.133 Tm
0.000 2.363 1.711 Tm
0.000 1.226 5.133 Be
0.000 5.059 1.711 Be
0.000 0.000 3.422 Ni
0.000 0.000 0.000 Ni
1.760 6.049 5.133 Ni
1.760 0.237 1.711 Ni
1.760 4.417 0.433 Ni
1.760 1.868 6.412 Ni
1.760 4.417 2.989 Ni
1.760 1.868 3.855 Ni
```

=====

Record 19
## LiNdErZn (PBE)

Data for a relaxed structure of LiNdErZn.

Results
Energy of formation from the pure elements, meV per atom: -109
Distance to the lowest polymorph of the same formula, eV/f.u.: 0.03

Cell and atoms, written as POSCAR:
```
LiNdErZn
1.0
5.167 0.000 0.000
2.583 4.474 0.000
2.583 1.491 4.219
Zn Li Nd Er
1 1 1 1
Cartesian
0.000 0.000 0.000 Zn
5.167 2.983 2.109 Li
2.583 1.491 1.055 Nd
7.750 4.474 3.164 Er
```

=====

Record 20
## Sm4DyEr (PBE)

Data for a relaxed structure of Sm4DyEr.

Results
Energy of formation from the pure elements, meV per atom: 648
Distance to the lowest polymorph of the same formula, eV/f.u.: 3.79

Cell and atoms, written as POSCAR:
```
Sm4DyEr
1.0
3.456 0.000 0.000
0.000 8.225 -0.009
0.000 0.005 8.225
Sm Dy Er
4 1 1
Cartesian
1.728 2.155 6.072 Sm
0.000 6.257 6.246 Sm
3.456 1.973 1.970 Sm
1.728 6.075 2.144 Sm
1.728 0.000 0.000 Dy
0.000 4.115 4.108 Er
```

=====

Record 21
## KRb3 (PBE)

Data for a relaxed structure of KRb3.

Results
Energy of formation from the pure elements, meV per atom: 6

Cell and atoms, written as POSCAR:
```
KRb3
1.0
-5.657 -6.375 -1.436
3.595 -6.235 -4.786
2.547 4.037 7.205
K Rb
1 3
Cartesian
0.000 0.000 0.000 K
-2.070 -4.321 1.329 Rb
2.556 -4.252 -0.346 Rb
-1.031 -6.305 -3.111 Rb
```

=====

Record 22
## Ni2SbRh (PBE)

Data for a relaxed structure of Ni2SbRh.

Results
Raw formation energy, meV per atom: -26.4

Cell and atoms, written as POSCAR:
```
Ni2SbRh
1.0
3.250 0.010 0.000
-0.008 3.250 0.000
0.000 0.000 5.422
Ni Rh Sb
2 1 1
Cartesian
0.000 0.000 0.109 Ni
1.621 1.630 1.228 Ni
0.000 0.000 2.680 Rh
1.621 1.630 4.116 Sb
```

=====

Record 23
## Rb3NpV2Te6 (PBE)

Data for a relaxed structure of Rb3NpV2Te6.

Results
Raw formation energy, meV per atom: -672.4

Cell and atoms, written as POSCAR:
```
Rb3NpV2Te6
1.0
7.428 -0.001 -0.002
-3.713 6.434 -0.002
-1.244 -2.153 8.472
Rb Np V Te
3 1 2 6
Cartesian
-2.550 4.326 4.234 Rb
5.021 -0.047 4.234 Rb
1.236 2.140 4.234 Rb
0.000 0.000 0.000 Np
-0.010 4.295 -0.002 V
3.725 2.138 -0.002 V
3.797 1.982 6.905 Te
2.386 4.132 1.537 Te
-1.326 2.298 1.563 Te
-0.181 4.280 6.905 Te
0.085 0.148 6.931 Te
2.653 0.000 1.563 Te
```

=====

Record 24
## Sc2TiIrN (PBE)

Data for a relaxed structure of Sc2TiIrN.

Results
Raw formation energy, meV per atom: -1072.0

Cell and atoms, written as POSCAR:
```
Sc2TiIrN
1.0
4.412 0.000 0.000
0.000 4.412 0.000
0.000 0.000 3.971
Sc N Ir Ti
2 1 1 1
Cartesian
0.000 2.206 0.000 Sc
2.206 0.000 0.000 Sc
0.000 0.000 0.000 N
2.206 2.206 1.985 Ir
0.000 0.000 1.985 Ti
```

=====

Number 1: N(E_F) 1.9883 states/eV/atom, VASP energy -103.01 eV/cell. Number 2: N(E_F) 0.3975 states/eV/atom, VASP energy -30.20 eV/cell. Number 3: N(E_F) 1.1332 states/eV/atom, VASP energy -12.81 eV/cell. Number 4: N(E_F) 0.7873 states/eV/atom, VASP energy -20.06 eV/cell. Number 5: N(E_F) 0.2854 states/eV/atom, VASP energy -41.84 eV/cell. Number 6: N(E_F) 1.0102 states/eV/atom, VASP energy -17.04 eV/cell. Number 7: N(E_F) 0.6339 states/eV/atom, VASP energy -13.17 eV/cell. Number 8: N(E_F) 0.4505 states/eV/atom, VASP energy -116.03 eV/cell. Number 9: N(E_F) 1.3467 states/eV/atom, VASP energy -25.70 eV/cell. Number 10: N(E_F) 1.1596 states/eV/atom, VASP energy -11.52 eV/cell. Number 11: N(E_F) 0.7602 states/eV/atom, VASP energy -33.02 eV/cell. Number 12: N(E_F) 0.1436 states/eV/atom, VASP energy -15.13 eV/cell. Number 13: N(E_F) 0.5232 states/eV/atom, VASP energy -19.02 eV/cell. Number 14: N(E_F) 1.1368 states/eV/atom, VASP energy -50.48 eV/cell. Number 15: N(E_F) 0.4296 states/eV/atom, VASP energy -15.38 eV/cell. Number 16: N(E_F) 1.0836 states/eV/atom, VASP energy -40.31 eV/cell. Number 17: N(E_F) 0.8263 states/eV/atom, VASP energy -34.57 eV/cell. Number 18: N(E_F) 0.6958 states/eV/atom, VASP energy -66.86 eV/cell. Number 19: N(E_F) 1.3104 states/eV/atom, VASP energy -12.95 eV/cell. Number 20: N(E_F) 1.5877 states/eV/atom, VASP energy -24.16 eV/cell. Number 21: N(E_F) 0.8131 states/eV/atom, VASP energy -3.98 eV/cell. Number 22: N(E_F) 1.1601 states/eV/atom, VASP energy -23.14 eV/cell. Number 23: N(E_F) 1.5321 states/eV/atom, VASP energy -61.00 eV/cell. Number 24: N(E_F) 0.8902 states/eV/atom, VASP energy -43.10 eV/cell.